Record 1
A plane-wave DFT calculation with PBE-GGA was carried out for an optimized crystal structure of LiAcPb2Au4.

The calculation puts the total DFT energy (no corrections) at -3.764 eV per atom. As for the spin magnetization: 0.0 μB/cell. The density of states at the Fermi level is 0.374 states/eV/atom. As for the space group: No. 166. For the formation energy from the elements, the calculation gives -0.45 eV/atom.

a = 4.845 Å, b = 4.845 Å, c = 9.848 Å
α = 75.76°, β = 75.76°, γ = 60.00°
Element x y z (fractional)
Au 0.865 0.865 0.406
Au 0.392 0.392 0.825
Au 0.608 0.608 0.175
Au 0.135 0.135 0.594
Pb 0.762 0.762 0.713
Pb 0.238 0.238 0.287
Ac 0.000 0.000 0.000
Li 0.500 0.500 0.500


Record 2
A plane-wave DFT calculation with PBE-GGA was carried out for an optimized crystal structure of Dy8SbC4.

The calculation puts the total DFT energy (no corrections) at -6.340 eV per atom. As for the spin magnetization: 0.0 μB/cell. The formation energy without anion corrections comes out at -353 meV/atom. The density of states at the Fermi level is 0.794 states/eV/atom. As for the space group: No. 12. The offset from the most stable computed form is 0.00 eV/f.u.

a = 3.635 Å, b = 8.842 Å, c = 9.189 Å
α = 82.01°, β = 78.59°, γ = 78.14°
Element x y z (fractional)
C 0.183 0.498 0.137
C 0.849 0.506 0.797
C 0.664 0.165 0.508
C 0.368 0.839 0.426
Dy 0.219 0.663 0.899
Dy 0.558 0.656 0.228
Dy 0.147 0.328 0.379
Dy 0.885 0.676 0.554
Dy 0.474 0.347 0.705
Dy 0.180 0.011 0.629
Dy 0.813 0.340 0.035
Dy 0.851 0.993 0.305
Sb 0.516 0.002 0.967


Record 3
A plane-wave DFT calculation with PBE-GGA was carried out for an optimized crystal structure of BiAsCl.

The calculation puts the total DFT energy (no corrections) at -3.881 eV per atom. As for the spin magnetization: 0.0 μB/cell. The formation energy without anion corrections comes out at -422 meV/atom. As for the space group: No. 2. The offset from the most stable computed form is 0.04 eV/f.u.

a = 8.241 Å, b = 4.373 Å, c = 5.423 Å
α = 113.78°, β = 83.94°, γ = 90.06°
Element x y z (fractional)
As 0.969 0.888 0.770
As 0.035 0.120 0.233
Cl 0.660 0.630 0.256
Cl 0.344 0.377 0.748
Bi 0.765 0.332 0.658
Bi 0.240 0.676 0.345


Record 4
A plane-wave DFT calculation with PBE-GGA was carried out for an optimized crystal structure of Hg2IrPt.

The calculation puts the total DFT energy (no corrections) at -3.517 eV per atom. As for the spin magnetization: 0.0 μB/cell. The density of states at the Fermi level is 0.850 states/eV/atom. As for the space group: No. 12. The offset from the most stable computed form is 0.16 eV/f.u. For the formation energy from the elements, the calculation gives 0.36 eV/atom.

a = 4.904 Å, b = 4.904 Å, c = 5.160 Å
α = 79.37°, β = 79.37°, γ = 36.07°
Element x y z (fractional)
Hg 0.502 0.502 0.497
Hg 0.998 0.998 0.003
Pt 0.750 0.750 0.750
Ir 0.250 0.250 0.250


Record 5
A plane-wave DFT calculation with PBE-GGA was carried out for an optimized crystal structure of Pm4InTe2P.

The calculation puts the total DFT energy (no corrections) at -5.381 eV per atom. As for the spin magnetization: 0.0 μB/cell. The formation energy without anion corrections comes out at -1202 meV/atom. The density of states at the Fermi level is 0.333 states/eV/atom. As for the space group: No. 10.

a = 4.289 Å, b = 7.667 Å, c = 7.694 Å
α = 108.37°, β = 90.00°, γ = 90.00°
Element x y z (fractional)
P 0.000 0.000 0.000
Pm 0.500 0.772 0.779
Pm 0.500 0.228 0.221
Pm 0.000 0.242 0.761
Pm 0.000 0.758 0.239
Te 0.500 0.000 0.500
Te 0.000 0.500 0.500
In 0.500 0.500 0.000


Record 6
A plane-wave DFT calculation with PBE-GGA was carried out for an optimized crystal structure of Th4IrPb.

The calculation puts the total DFT energy (no corrections) at -7.341 eV per atom. As for the spin magnetization: 0.0 μB/cell. The density of states at the Fermi level is 1.169 states/eV/atom. As for the space group: No. 11. For the formation energy from the elements, the calculation gives -0.30 eV/atom.

a = 5.584 Å, b = 6.484 Å, c = 10.682 Å
α = 90.00°, β = 105.20°, γ = 90.00°
Element x y z (fractional)
Pb 0.146 0.322 0.292
Pb 0.854 0.822 0.708
Th 0.450 0.822 0.898
Th 0.705 0.071 0.410
Th 0.097 0.822 0.195
Th 0.705 0.574 0.410
Th 0.550 0.322 0.102
Th 0.295 0.074 0.590
Th 0.295 0.571 0.590
Th 0.903 0.322 0.805
Ir 0.582 0.822 0.164
Ir 0.418 0.322 0.836


total DFT energy (no corrections) of number 5 (Pm4InTe2P)?
-5.381 eV per atom


Among the records above, which one has the lowest total DFT energy (no corrections)?
Th4IrPb